Entry from Alexandria via LeMat-Bulk: a geometry-optimized Tl2SiGePd structure (GGA-PBE).

```
data_Tl2SiGePd
_chemical_formula_sum 'Tl2 Si1 Ge1 Pd1'
_space_group_name_H-M_alt 'P 4/m m m'
_space_group_IT_number 123
_space_group_name_Hall '-P 4 2'
_cell_length_a 5.374
_cell_length_b 5.374
_cell_length_c 4.566
_cell_angle_alpha 90.00
_cell_angle_beta 90.00
_cell_angle_gamma 90.00
loop_
_atom_site_label
_atom_site_fract_x
_atom_site_fract_y
_atom_site_fract_z
Tl1 0.000 0.500 0.000
Si1 0.000 0.000 0.000
Ge1 0.500 0.500 0.500
Pd1 0.000 0.000 0.500
```

DFT total energy: -3.51 eV per atom
D(E_F): 0.36 states/eV/atom
Formation energy without anion corrections: 0.49 eV per atom



Entry from Alexandria via LeMat-Bulk: a geometry-optimized TlInNiSn2 structure (GGA-PBE).

```
data_TlInNiSn2
_chemical_formula_sum 'Tl1 In1 Ni1 Sn2'
_space_group_name_H-M_alt 'P 4/m m m'
_space_group_IT_number 123
_space_group_name_Hall '-P 4 2'
_cell_length_a 5.057
_cell_length_b 5.057
_cell_length_c 5.118
_cell_angle_alpha 90.00
_cell_angle_beta 90.00
_cell_angle_gamma 90.00
loop_
_atom_site_label
_atom_site_fract_x
_atom_site_fract_y
_atom_site_fract_z
Tl1 0.000 0.000 0.000
In1 0.500 0.500 0.000
Ni1 0.500 0.500 0.500
Sn1 0.000 0.500 0.500
```

DFT total energy: -3.75 eV per atom
D(E_F): 0.54 states/eV/atom
ΔE to the lowest computed polymorph: 0.000 eV per atom
Energy of formation: 0.1 eV per formula unit



Entry from Alexandria via LeMat-Bulk: a geometry-optimized Pm3DySe4 structure (GGA-PBE).

```
data_Pm3DySe4
_chemical_formula_sum 'Pm3 Dy1 Se4'
_space_group_name_H-M_alt 'P m -3 m'
_space_group_IT_number 221
_space_group_name_Hall '-P 4 2 3'
_cell_length_a 5.896
_cell_length_b 5.896
_cell_length_c 5.896
_cell_angle_alpha 90.00
_cell_angle_beta 90.00
_cell_angle_gamma 90.00
loop_
_atom_site_label
_atom_site_fract_x
_atom_site_fract_y
_atom_site_fract_z
Pm1 0.000 0.000 0.500
Dy1 0.500 0.500 0.500
Se1 0.000 0.000 0.000
Se2 0.000 0.500 0.500
```

DFT total energy: -5.89 eV per atom
D(E_F): 0.63 states/eV/atom
Formation energy without anion corrections: -1.80 eV per atom
ΔE to the lowest computed polymorph: 0.015 eV per atom



Entry from Alexandria via LeMat-Bulk: a geometry-optimized Sm4YPb4 structure (GGA-PBE).

```
data_Sm4YPb4
_chemical_formula_sum 'Sm8 Y2 Pb8'
_space_group_name_H-M_alt 'P 42/n'
_space_group_IT_number 86
_cell_length_a 9.627
_cell_length_b 9.627
_cell_length_c 6.451
_cell_angle_alpha 90.00
_cell_angle_beta 90.00
_cell_angle_gamma 90.00
loop_
_space_group_symop_operation_xyz
'x,y,z'
'-x,-y,-z'
'-y,x+1/2,z+1/2'
'y,-x+1/2,-z+1/2'
'-x+1/2,-y+1/2,z'
'x+1/2,y+1/2,-z'
'y+1/2,-x,z+1/2'
'-y+1/2,x,-z+1/2'
loop_
_atom_site_label
_atom_site_fract_x
_atom_site_fract_y
_atom_site_fract_z
Sm1 0.030 0.666 0.131
Y1 0.250 0.250 0.250
Pb1 0.032 0.651 0.625
```

DFT total energy: -4.75 eV per atom
D(E_F): 0.91 states/eV/atom
Energy of formation: -2.6 eV per formula unit



Entry from Alexandria via LeMat-Bulk: a geometry-optimized Nd5Tm3H12 structure (GGA-PBE).

```
data_Nd5Tm3H12
_chemical_formula_sum 'Nd40 Tm24 H96'
_space_group_name_H-M_alt 'I a -3 d'
_space_group_IT_number 230
_space_group_name_Hall '-I 4bd 2c 3'
_cell_length_a 13.336
_cell_length_b 13.336
_cell_length_c 13.336
_cell_angle_alpha 90.00
_cell_angle_beta 90.00
_cell_angle_gamma 90.00
loop_
_atom_site_label
_atom_site_fract_x
_atom_site_fract_y
_atom_site_fract_z
Nd1 0.000 0.000 0.000
Nd2 0.000 0.250 0.375
Tm1 0.000 0.250 0.125
H1 0.003 0.070 0.159
```

DFT total energy: -4.29 eV per atom
D(E_F): 0.58 states/eV/atom



Entry from Alexandria via LeMat-Bulk: a geometry-optimized Er4PtSe2Cl structure (GGA-PBE).

```
data_Er4PtSe2Cl
_chemical_formula_sum 'Er4 Pt1 Se2 Cl1'
_space_group_name_H-M_alt 'P 1 2/m 1'
_space_group_IT_number 10
_cell_length_a 7.101
_cell_length_b 3.908
_cell_length_c 7.205
_cell_angle_alpha 90.00
_cell_angle_beta 107.84
_cell_angle_gamma 90.00
loop_
_space_group_symop_operation_xyz
'x,y,z'
'-x,-y,-z'
'-x,y,-z'
'x,-y,z'
loop_
_atom_site_label
_atom_site_fract_x
_atom_site_fract_y
_atom_site_fract_z
Er1 0.227 0.000 0.232
Er2 0.232 0.500 0.749
Pt1 0.000 0.500 0.000
Se1 0.000 0.000 0.500
Se2 0.500 0.500 0.500
Cl1 0.500 0.000 0.000
```

DFT total energy: -5.62 eV per atom
D(E_F): 0.54 states/eV/atom
Formation energy without anion corrections: -1.48 eV per atom



Entry from Alexandria via LeMat-Bulk: a geometry-optimized Ti2Bi2S7 structure (GGA-PBE).

```
data_Ti2Bi2S7
_chemical_formula_sum 'Ti4 Bi4 S14'
_space_group_name_H-M_alt 'I m m 2'
_space_group_IT_number 44
_cell_length_a 3.609
_cell_length_b 13.980
_cell_length_c 8.981
_cell_angle_alpha 90.00
_cell_angle_beta 90.00
_cell_angle_gamma 90.00
loop_
_space_group_symop_operation_xyz
'x,y,z'
'-x,-y,z'
'-x,y,z'
'x,-y,z'
'x+1/2,y+1/2,z+1/2'
'-x+1/2,-y+1/2,z+1/2'
'-x+1/2,y+1/2,z+1/2'
'x+1/2,-y+1/2,z+1/2'
loop_
_atom_site_label
_atom_site_fract_x
_atom_site_fract_y
_atom_site_fract_z
Ti1 0.000 0.000 0.000
Ti2 0.000 0.500 0.135
Bi1 0.000 0.313 0.807
S1 0.000 0.112 0.557
S2 0.000 0.175 0.094
S3 0.000 0.401 0.357
S4 0.000 0.500 0.707
```

DFT total energy: -5.45 eV per atom
D(E_F): 0.04 states/eV/atom
Formation energy without anion corrections: -0.69 eV per atom



Entry from Alexandria via LeMat-Bulk: a geometry-optimized La5ThRh4 structure (GGA-PBE).

```
data_La5ThRh4
_chemical_formula_sum 'La10 Th2 Rh8'
_space_group_name_H-M_alt 'C 1 2/m 1'
_space_group_IT_number 12
_cell_length_a 18.304
_cell_length_b 4.382
_cell_length_c 7.596
_cell_angle_alpha 90.00
_cell_angle_beta 110.91
_cell_angle_gamma 90.00
loop_
_space_group_symop_operation_xyz
'x,y,z'
'-x,-y,-z'
'-x,y,-z'
'x,-y,z'
'x+1/2,y+1/2,z'
'-x+1/2,-y+1/2,-z'
'-x+1/2,y+1/2,-z'
'x+1/2,-y+1/2,z'
loop_
_atom_site_label
_atom_site_fract_x
_atom_site_fract_y
_atom_site_fract_z
La1 0.000 0.000 0.000
La2 0.164 0.500 0.551
La3 0.174 0.500 0.059
Th1 0.000 0.000 0.500
Rh1 0.008 0.500 0.736
Rh2 0.149 0.000 0.796
```

DFT total energy: -6.78 eV per atom
D(E_F): 0.91 states/eV/atom
Energy of formation: -6.3 eV per formula unit



Entry from Alexandria via LeMat-Bulk: a geometry-optimized Pu2GaFe structure (GGA-PBE).

```
data_Pu2GaFe
_chemical_formula_sum 'Pu2 Ga1 Fe1'
_space_group_name_H-M_alt 'P 4/m m m'
_space_group_IT_number 123
_space_group_name_Hall '-P 4 2'
_cell_length_a 3.566
_cell_length_b 3.566
_cell_length_c 4.860
_cell_angle_alpha 90.00
_cell_angle_beta 90.00
_cell_angle_gamma 90.00
loop_
_atom_site_label
_atom_site_fract_x
_atom_site_fract_y
_atom_site_fract_z
Pu1 0.000 0.500 0.000
Ga1 0.000 0.000 0.500
Fe1 0.500 0.500 0.500
```

DFT total energy: -9.84 eV per atom
D(E_F): 1.73 states/eV/atom
Energy of formation: 0.8 eV per formula unit



Entry from Alexandria via LeMat-Bulk: a geometry-optimized FeCuPt2 structure (GGA-PBE).

```
data_FeCuPt2
_chemical_formula_sum 'Fe1 Cu1 Pt2'
_space_group_name_H-M_alt 'P 4 m m'
_space_group_IT_number 99
_cell_length_a 2.735
_cell_length_b 2.735
_cell_length_c 7.476
_cell_angle_alpha 90.00
_cell_angle_beta 90.00
_cell_angle_gamma 90.00
loop_
_space_group_symop_operation_xyz
'x,y,z'
'-y,x,z'
'-x,-y,z'
'y,-x,z'
'-x,y,z'
'y,x,z'
'x,-y,z'
'-y,-x,z'
loop_
_atom_site_label
_atom_site_fract_x
_atom_site_fract_y
_atom_site_fract_z
Fe1 0.000 0.000 0.000
Cu1 0.500 0.500 0.772
Pt1 0.000 0.000 0.528
Pt2 0.500 0.500 0.243
```

DFT total energy: -6.26 eV per atom
D(E_F): 0.55 states/eV/atom
Energy of formation: -0.4 eV per formula unit



Entry from Alexandria via LeMat-Bulk: a geometry-optimized Nd2Ga5PdRh2 structure (GGA-PBE).

```
data_Nd2Ga5PdRh2
_chemical_formula_sum 'Nd4 Ga10 Pd2 Rh4'
_space_group_name_H-M_alt 'P 4/m b m'
_space_group_IT_number 127
_space_group_name_Hall '-P 4 2ab'
_cell_length_a 9.792
_cell_length_b 9.792
_cell_length_c 3.946
_cell_angle_alpha 90.00
_cell_angle_beta 90.00
_cell_angle_gamma 90.00
loop_
_atom_site_label
_atom_site_fract_x
_atom_site_fract_y
_atom_site_fract_z
Nd1 0.185 0.315 0.000
Ga1 0.000 0.500 0.500
Ga2 0.052 0.803 0.500
Pd1 0.000 0.000 0.000
Rh1 0.114 0.614 0.000
```

DFT total energy: -5.05 eV per atom
D(E_F): 0.67 states/eV/atom
Energy of formation: -6.0 eV per formula unit



Entry from Alexandria via LeMat-Bulk: a geometry-optimized BaFe2P2 structure (GGA-PBE).

```
data_BaFe2P2
_chemical_formula_sum 'Ba2 Fe4 P4'
_space_group_name_H-M_alt 'I 4/m m m'
_space_group_IT_number 139
_space_group_name_Hall '-I 4 2'
_cell_length_a 4.087
_cell_length_b 4.087
_cell_length_c 10.692
_cell_angle_alpha 90.00
_cell_angle_beta 90.00
_cell_angle_gamma 90.00
loop_
_atom_site_label
_atom_site_fract_x
_atom_site_fract_y
_atom_site_fract_z
Ba1 0.000 0.000 0.000
Fe1 0.000 0.000 0.343
P1 0.000 0.500 0.250
```

DFT total energy: -6.10 eV per atom
D(E_F): 0.78 states/eV/atom
Energy of formation: -0.9 eV per formula unit



Entry from Alexandria via LeMat-Bulk: a geometry-optimized SmPuSbO2 structure (GGA-PBE).

```
data_SmPuSbO2
_chemical_formula_sum 'Sm2 Pu2 Sb2 O4'
_space_group_name_H-M_alt 'I 4 m m'
_space_group_IT_number 107
_space_group_name_Hall 'I 4 -2'
_cell_length_a 3.924
_cell_length_b 3.924
_cell_length_c 13.088
_cell_angle_alpha 90.00
_cell_angle_beta 90.00
_cell_angle_gamma 90.00
loop_
_atom_site_label
_atom_site_fract_x
_atom_site_fract_y
_atom_site_fract_z
Sm1 0.000 0.000 0.000
Pu1 0.000 0.000 0.316
Sb1 0.000 0.000 0.662
O1 0.000 0.500 0.406
```

DFT total energy: -9.06 eV per atom
D(E_F): 1.73 states/eV/atom
Formation energy without anion corrections: -2.44 eV per atom



Entry from Alexandria via LeMat-Bulk: a geometry-optimized BaLi2TaV structure (GGA-PBE).

```
data_BaLi2TaV
_chemical_formula_sum 'Ba1 Li2 Ta1 V1'
_space_group_name_H-M_alt 'P 4/m m m'
_space_group_IT_number 123
_space_group_name_Hall '-P 4 2'
_cell_length_a 4.903
_cell_length_b 4.903
_cell_length_c 5.643
_cell_angle_alpha 90.00
_cell_angle_beta 90.00
_cell_angle_gamma 90.00
loop_
_atom_site_label
_atom_site_fract_x
_atom_site_fract_y
_atom_site_fract_z
Ba1 0.000 0.000 0.000
Li1 0.000 0.500 0.500
Ta1 0.500 0.500 0.000
V1 0.000 0.000 0.500
```

DFT total energy: -3.60 eV per atom
D(E_F): 1.22 states/eV/atom
Energy of formation: 8.7 eV per formula unit



Entry from Alexandria via LeMat-Bulk: a geometry-optimized TaNb2Rh4 structure (GGA-PBE).

```
data_TaNb2Rh4
_chemical_formula_sum 'Ta4 Nb8 Rh16'
_space_group_name_H-M_alt 'C m c m'
_space_group_IT_number 63
_space_group_name_Hall '-C 2c 2'
_cell_length_a 4.654
_cell_length_b 7.516
_cell_length_c 13.172
_cell_angle_alpha 90.00
_cell_angle_beta 90.00
_cell_angle_gamma 90.00
loop_
_atom_site_label
_atom_site_fract_x
_atom_site_fract_y
_atom_site_fract_z
Ta1 0.000 0.041 0.250
Nb1 0.000 0.342 0.061
Rh1 0.000 0.000 0.000
Rh2 0.000 0.275 0.644
Rh3 0.000 0.391 0.250
```

DFT total energy: -9.02 eV per atom
D(E_F): 1.12 states/eV/atom
Energy of formation: -1.7 eV per formula unit



Entry from Alexandria via LeMat-Bulk: a geometry-optimized Ca2AlPb2 structure (GGA-PBE).

```
data_Ca2AlPb2
_chemical_formula_sum 'Ca4 Al2 Pb4'
_space_group_name_H-M_alt 'P 4/m b m'
_space_group_IT_number 127
_space_group_name_Hall '-P 4 2ab'
_cell_length_a 9.075
_cell_length_b 9.075
_cell_length_c 3.718
_cell_angle_alpha 90.00
_cell_angle_beta 90.00
_cell_angle_gamma 90.00
loop_
_atom_site_label
_atom_site_fract_x
_atom_site_fract_y
_atom_site_fract_z
Ca1 0.132 0.368 0.000
Al1 0.000 0.000 0.000
Pb1 0.173 0.673 0.500
```

DFT total energy: -3.11 eV per atom
D(E_F): 0.66 states/eV/atom
ΔE to the lowest computed polymorph: 0.233 eV per atom
Energy of formation: -0.4 eV per formula unit



Entry from Alexandria via LeMat-Bulk: a geometry-optimized Tm5Hg2Pb structure (GGA-PBE).

```
data_Tm5Hg2Pb
_chemical_formula_sum 'Tm20 Hg8 Pb4'
_space_group_name_H-M_alt 'I 4/m c m'
_space_group_IT_number 140
_space_group_name_Hall '-I 4 2c'
_cell_length_a 8.181
_cell_length_b 8.181
_cell_length_c 12.955
_cell_angle_alpha 90.00
_cell_angle_beta 90.00
_cell_angle_gamma 90.00
loop_
_atom_site_label
_atom_site_fract_x
_atom_site_fract_y
_atom_site_fract_z
Tm1 0.000 0.000 0.000
Tm2 0.153 0.347 0.148
Hg1 0.140 0.360 0.500
Pb1 0.000 0.000 0.250
```

DFT total energy: -3.74 eV per atom
D(E_F): 0.66 states/eV/atom
Energy of formation: -3.3 eV per formula unit



Entry from Alexandria via LeMat-Bulk: a geometry-optimized Zr2BeInC structure (GGA-PBE).

```
data_Zr2BeInC
_chemical_formula_sum 'Zr2 Be1 In1 C1'
_space_group_name_H-M_alt 'P 4/m m m'
_space_group_IT_number 123
_space_group_name_Hall '-P 4 2'
_cell_length_a 4.720
_cell_length_b 4.720
_cell_length_c 3.652
_cell_angle_alpha 90.00
_cell_angle_beta 90.00
_cell_angle_gamma 90.00
loop_
_atom_site_label
_atom_site_fract_x
_atom_site_fract_y
_atom_site_fract_z
Zr1 0.000 0.500 0.000
Be1 0.000 0.000 0.500
In1 0.500 0.500 0.500
C1 0.000 0.000 0.000
```

DFT total energy: -6.82 eV per atom
D(E_F): 0.74 states/eV/atom
Energy of formation: -1.3 eV per formula unit



Entry from Alexandria via LeMat-Bulk: a geometry-optimized Li4ZnRh3O8 structure (GGA-PBE).

```
data_Li4ZnRh3O8
_chemical_formula_sum 'Li12 Zn3 Rh9 O24'
_space_group_name_H-M_alt 'R -3 m'
_space_group_IT_number 166
_space_group_name_Hall '-R 3 2"'
_cell_length_a 6.1306
_cell_length_b 6.1306
_cell_length_c 14.3712
_cell_angle_alpha 90.00
_cell_angle_beta 90.00
_cell_angle_gamma 120.00
loop_
_atom_site_label
_atom_site_fract_x
_atom_site_fract_y
_atom_site_fract_z
Li1 0.0000 0.0000 0.0000
Li2 0.0000 0.5000 0.0000
Zn1 0.0000 0.0000 0.5000
Rh1 0.0000 0.5000 0.5000
O1 0.0000 0.0000 0.2426
O2 0.0110 0.5055 0.7560
```

DFT total energy: -5.71 eV per atom
D(E_F): 0.63 states/eV/atom
Formation energy without anion corrections: -1.30 eV per atom



Entry from Alexandria via LeMat-Bulk: a geometry-optimized Fe2AsPt structure (GGA-PBE).

```
data_Fe2AsPt
_chemical_formula_sum 'Fe2 As1 Pt1'
_space_group_name_H-M_alt 'P 4/m m m'
_space_group_IT_number 123
_space_group_name_Hall '-P 4 2'
_cell_length_a 2.868
_cell_length_b 2.868
_cell_length_c 6.638
_cell_angle_alpha 90.00
_cell_angle_beta 90.00
_cell_angle_gamma 90.00
loop_
_atom_site_label
_atom_site_fract_x
_atom_site_fract_y
_atom_site_fract_z
Fe1 0.000 0.000 0.231
As1 0.500 0.500 0.000
Pt1 0.500 0.500 0.500
```

DFT total energy: -6.92 eV per atom
D(E_F): 0.63 states/eV/atom
Energy of formation: -0.1 eV per formula unit